(1)
Density functional theory data (PBE) for a relaxed structure of PuRu.

Summary:
density = 13.86 g cm⁻³
VASP energy = -11.7398 eV/atom
crystal system = cubic
ΔH_f (0 K) = 0.064 eV/atom
DOS(E_F) = 4.41 states/eV per cell

Cell lengths 3.881, 3.881, 3.881 Å; angles 60.00, 60.00, 60.00 degrees
Element x y z (fractional)
Pu: 0.000 0.000 0.000
Ru: 0.500 0.500 0.500

***

(2)
Density functional theory data (PBE) for a relaxed structure of PuRu.

Summary:
density = 17.24 g cm⁻³
VASP energy = -11.3452 eV/atom
crystal system = monoclinic
ΔH_f (0 K) = 0.459 eV/atom
DOS(E_F) = 7.72 states/eV per cell

Cell lengths 2.385, 4.691, 5.994 Å; angles 90.00, 97.54, 90.00 degrees
Element x y z (fractional)
Pu: 0.188 0.250 0.355
Pu: 0.812 0.750 0.645
Ru: 0.439 0.250 0.886
Ru: 0.561 0.750 0.114

***

(3)
Density functional theory data (PBE) for a relaxed structure of PuRu2.

Summary:
density = 13.96 g cm⁻³
VASP energy = -11.0822 eV/atom
crystal system = cubic
ΔH_f (0 K) = -0.121 eV/atom
DOS(E_F) = 16.40 states/eV per cell

Cell lengths 5.314, 5.314, 5.314 Å; angles 60.00, 60.00, 60.00 degrees
Element x y z (fractional)
Pu: 0.125 0.125 0.125
Pu: 0.875 0.875 0.875
Ru: 0.000 0.500 0.500
Ru: 0.500 0.000 0.500
Ru: 0.500 0.500 0.000
Ru: 0.500 0.500 0.500

***

(4)
Density functional theory data (PBE) for a relaxed structure of Pu3Ru.

Summary:
density = 16.79 g cm⁻³
VASP energy = -12.9801 eV/atom
crystal system = tetragonal
ΔH_f (0 K) = 0.088 eV/atom
DOS(E_F) = 12.12 states/eV per cell

Cell lengths 5.855, 5.855, 5.855 Å; angles 139.94, 139.94, 57.94 degrees
Element x y z (fractional)
Pu: 0.000 0.000 0.000
Pu: 0.250 0.750 0.500
Pu: 0.750 0.250 0.500
Ru: 0.500 0.500 0.000

***

(5)
Density functional theory data (PBE) for a relaxed structure of Pu5Ru4.

Summary:
ΔE to the lowest computed polymorph = 0.0 meV/atom
density = 14.29 g cm⁻³
VASP energy = -12.1164 eV/atom
crystal system = monoclinic
ΔH_f (0 K) = -0.032 eV/atom
DOS(E_F) = 35.91 states/eV per cell

Cell lengths 5.436, 5.436, 9.396 Å; angles 109.60, 109.60, 46.92 degrees
Element x y z (fractional)
Pu: 0.000 0.000 0.000
Pu: 0.103 0.103 0.402
Pu: 0.243 0.243 0.820
Pu: 0.757 0.757 0.180
Pu: 0.897 0.897 0.598
Ru: 0.363 0.363 0.387
Ru: 0.446 0.446 0.134
Ru: 0.554 0.554 0.866
Ru: 0.637 0.637 0.613

***

(6)
Density functional theory data (PBE) for a relaxed structure of Pu2RuS.

Summary:
density = 12.92 g cm⁻³
VASP energy = -11.2490 eV/atom
crystal system = tetragonal
energy relative to the elements, uncorrected = -0.732 eV per atom
DOS(E_F) = 12.68 states/eV per cell

Cell lengths 3.329, 3.329, 7.203 Å; angles 90.00, 90.00, 90.00 degrees
Element x y z (fractional)
Pu: 0.000 0.000 0.248
Pu: 0.000 0.000 0.752
Ru: 0.500 0.500 0.000
S: 0.500 0.500 0.500